{"formula": "Cd2SbPd5", "functional": "GGA-PBE", "state": "optimized geometry", "lattice_angstrom": [[-2.091, 2.091, 7.808], [2.091, -2.091, 7.808], [2.091, 2.091, -7.808]], "species": ["Cd", "Cd", "Sb", "Pd", "Pd", "Pd", "Pd", "Pd"], "fractional_positions": [[0.247, 0.247, 0.000], [0.753, 0.753, 0.000], [0.500, 0.500, 0.000], [0.000, 0.000, 0.000], [0.123, 0.623, 0.500], [0.377, 0.877, 0.500], [0.623, 0.123, 0.500], [0.877, 0.377, 0.500]], "formation_energy_uncorrected_ev_per_atom": -0.368, "m_tot_mub_per_atom": 0.000}


{"formula": "Cd2SbPd", "functional": "GGA-PBE", "state": "optimized geometry", "lattice_angstrom": [[1.529, 0.883, 11.330], [-1.529, 0.883, 11.330], [0.000, -1.766, 11.330]], "species": ["Cd", "Cd", "Sb", "Pd"], "fractional_positions": [[0.079, 0.079, 0.079], [0.921, 0.921, 0.921], [0.500, 0.500, 0.500], [0.000, 0.000, 0.000]], "formation_energy_uncorrected_ev_per_atom": 0.215, "m_tot_mub_per_atom": 0.000}


{"formula": "Cd2SbPd", "functional": "GGA-PBE", "state": "optimized geometry", "lattice_angstrom": [[3.137, 0.000, 0.000], [0.000, 3.137, 0.000], [0.000, 0.000, 8.841]], "species": ["Cd", "Cd", "Sb", "Pd"], "fractional_positions": [[0.000, 0.000, 0.204], [0.000, 0.000, 0.796], [0.500, 0.500, 0.500], [0.500, 0.500, 0.000]], "formation_energy_uncorrected_ev_per_atom": -0.133, "m_tot_mub_per_atom": 0.000}


{"formula": "CdSb3Pd12", "functional": "GGA-PBE", "state": "optimized geometry", "lattice_angstrom": [[4.043, 0.000, 0.000], [0.000, 4.043, 0.000], [0.000, 0.000, 16.205]], "species": ["Cd", "Sb", "Sb", "Sb", "Pd", "Pd", "Pd", "Pd", "Pd", "Pd", "Pd", "Pd", "Pd", "Pd", "Pd", "Pd"], "fractional_positions": [[0.000, 0.000, 0.000], [0.000, 0.000, 0.242], [0.000, 0.000, 0.500], [0.000, 0.000, 0.758], [0.000, 0.500, 0.127], [0.000, 0.500, 0.376], [0.000, 0.500, 0.624], [0.000, 0.500, 0.873], [0.500, 0.000, 0.127], [0.500, 0.000, 0.376], [0.500, 0.000, 0.624], [0.500, 0.000, 0.873], [0.500, 0.500, 0.000], [0.500, 0.500, 0.255], [0.500, 0.500, 0.500], [0.500, 0.500, 0.745]], "formation_energy_uncorrected_ev_per_atom": -0.375, "m_tot_mub_per_atom": 0.000}


{"formula": "Cd2SbPd", "functional": "GGA-PBE", "state": "optimized geometry", "lattice_angstrom": [[2.318, 1.339, 5.004], [-2.318, 1.339, 5.004], [0.000, -2.677, 5.004]], "species": ["Cd", "Cd", "Sb", "Pd"], "fractional_positions": [[0.000, 0.000, 0.000], [0.214, 0.214, 0.214], [0.781, 0.781, 0.781], [0.602, 0.602, 0.602]], "formation_energy_uncorrected_ev_per_atom": -0.112, "m_tot_mub_per_atom": 0.000}


{"formula": "CdSb2Pd6", "functional": "GGA-PBE", "state": "optimized geometry", "lattice_angstrom": [[3.937, 0.000, 0.000], [1.968, 4.542, 0.000], [0.007, 1.925, 8.878]], "species": ["Cd", "Sb", "Sb", "Pd", "Pd", "Pd", "Pd", "Pd", "Pd"], "fractional_positions": [[0.000, 0.000, 0.000], [0.299, 0.405, 0.733], [0.701, 0.595, 0.267], [0.012, 0.973, 0.316], [0.315, 0.369, 0.113], [0.345, 0.308, 0.448], [0.655, 0.692, 0.552], [0.685, 0.631, 0.887], [0.988, 0.027, 0.684]], "formation_energy_uncorrected_ev_per_atom": -0.371, "m_tot_mub_per_atom": 0.000}


{"formula": "CdSb2Pd", "functional": "GGA-PBE", "state": "optimized geometry", "lattice_angstrom": [[2.147, 1.239, 6.281], [-2.147, 1.239, 6.281], [0.000, -2.479, 6.281]], "species": ["Cd", "Sb", "Sb", "Pd"], "fractional_positions": [[0.000, 0.000, 0.000], [0.563, 0.563, 0.563], [0.768, 0.768, 0.768], [0.161, 0.161, 0.161]], "formation_energy_uncorrected_ev_per_atom": -0.163, "m_tot_mub_per_atom": 0.000}


{"formula": "CdSb2Pd2", "functional": "GGA-PBE", "state": "optimized geometry", "lattice_angstrom": [[-2.298, 2.298, 5.558], [2.298, -2.298, 5.558], [2.298, 2.298, -5.558]], "species": ["Cd", "Sb", "Sb", "Pd", "Pd"], "fractional_positions": [[0.000, 0.000, 0.000], [0.371, 0.371, 0.000], [0.629, 0.629, 0.000], [0.250, 0.750, 0.500], [0.750, 0.250, 0.500]], "formation_energy_uncorrected_ev_per_atom": -0.124, "m_tot_mub_per_atom": 0.000}


{"formula": "Cd2SbPd6", "functional": "GGA-PBE", "state": "optimized geometry", "lattice_angstrom": [[7.157, -3.823, 0.000], [7.157, 3.823, 0.000], [-0.581, 0.000, 2.937]], "species": ["Cd", "Cd", "Sb", "Pd", "Pd", "Pd", "Pd", "Pd", "Pd"], "fractional_positions": [[0.166, 0.166, 0.141], [0.834, 0.834, 0.859], [0.500, 0.500, 0.500], [0.145, 0.523, 0.348], [0.200, 0.800, 0.000], [0.477, 0.855, 0.652], [0.523, 0.145, 0.348], [0.800, 0.200, 0.000], [0.855, 0.477, 0.652]], "formation_energy_uncorrected_ev_per_atom": -0.230, "m_tot_mub_per_atom": 0.000}


{"formula": "CdSb2Pd7", "functional": "GGA-PBE", "state": "optimized geometry", "lattice_angstrom": [[-2.044, 2.044, 10.972], [2.044, -2.044, 10.972], [2.044, 2.044, -10.972]], "species": ["Cd", "Sb", "Sb", "Pd", "Pd", "Pd", "Pd", "Pd", "Pd", "Pd"], "fractional_positions": [[0.000, 0.000, 0.000], [0.331, 0.331, 0.000], [0.669, 0.669, 0.000], [0.092, 0.592, 0.500], [0.250, 0.750, 0.500], [0.408, 0.908, 0.500], [0.500, 0.500, 0.000], [0.592, 0.092, 0.500], [0.750, 0.250, 0.500], [0.908, 0.408, 0.500]], "formation_energy_uncorrected_ev_per_atom": -0.372, "m_tot_mub_per_atom": 0.000}


{"formula": "CdSbPd3", "functional": "GGA-PBE", "state": "optimized geometry", "lattice_angstrom": [[4.518, 0.000, 0.000], [-2.197, 3.962, 0.000], [-0.366, -0.663, 5.400]], "species": ["Cd", "Sb", "Pd", "Pd", "Pd"], "fractional_positions": [[0.000, 0.000, 0.000], [0.654, 0.347, 0.500], [0.285, 0.614, 0.741], [0.383, 0.716, 0.260], [0.665, 0.336, 0.000]], "formation_energy_uncorrected_ev_per_atom": -0.328, "m_tot_mub_per_atom": 0.000}


{"formula": "CdSbPd", "functional": "GGA-PBE", "state": "optimized geometry", "lattice_angstrom": [[-1.616, 1.616, 6.169], [1.616, -1.616, 6.169], [1.616, 1.616, -6.169]], "species": ["Cd", "Sb", "Pd"], "fractional_positions": [[0.000, 0.000, 0.000], [0.715, 0.715, 0.000], [0.353, 0.353, 0.000]], "formation_energy_uncorrected_ev_per_atom": -0.204, "m_tot_mub_per_atom": 0.000}


{"formula": "Sr2CdSb4Pd3", "functional": "GGA-PBE", "state": "optimized geometry", "lattice_angstrom": [[4.659, 0.000, 0.000], [0.000, 4.659, 0.000], [0.000, 0.000, 11.477]], "species": ["Sr", "Sr", "Cd", "Sb", "Sb", "Sb", "Sb", "Pd", "Pd", "Pd"], "fractional_positions": [[0.000, 0.500, 0.247], [0.500, 0.000, 0.753], [0.000, 0.000, 0.500], [0.000, 0.000, 0.000], [0.000, 0.500, 0.643], [0.500, 0.000, 0.357], [0.500, 0.500, 0.000], [0.000, 0.500, 0.875], [0.500, 0.000, 0.125], [0.500, 0.500, 0.500]], "formation_energy_uncorrected_ev_per_atom": -0.692, "m_tot_mub_per_atom": 0.000}


{"formula": "SrCdSb2Pd5", "functional": "GGA-PBE", "state": "optimized geometry", "lattice_angstrom": [[5.102, 0.000, 0.000], [0.000, 5.102, 0.000], [0.000, 0.000, 7.957]], "species": ["Sr", "Cd", "Sb", "Sb", "Pd", "Pd", "Pd", "Pd", "Pd"], "fractional_positions": [[0.000, 0.000, 0.000], [0.000, 0.000, 0.500], [0.500, 0.500, 0.316], [0.500, 0.500, 0.684], [0.000, 0.500, 0.314], [0.000, 0.500, 0.686], [0.500, 0.000, 0.314], [0.500, 0.000, 0.686], [0.500, 0.500, 0.000]], "formation_energy_uncorrected_ev_per_atom": -0.300, "m_tot_mub_per_atom": 0.000}


{"formula": "Sr3CdSb2Pd9", "functional": "GGA-PBE", "state": "optimized geometry", "lattice_angstrom": [[5.940, 0.000, 0.000], [-2.970, 5.144, 0.000], [0.000, 0.000, 11.984]], "species": ["Sr", "Sr", "Sr", "Cd", "Sb", "Sb", "Pd", "Pd", "Pd", "Pd", "Pd", "Pd", "Pd", "Pd", "Pd"], "fractional_positions": [[0.000, 0.000, 0.000], [0.333, 0.667, 0.599], [0.667, 0.333, 0.401], [0.000, 0.000, 0.500], [0.333, 0.667, 0.164], [0.667, 0.333, 0.836], [0.000, 0.500, 0.000], [0.156, 0.313, 0.316], [0.156, 0.844, 0.316], [0.313, 0.156, 0.684], [0.500, 0.000, 0.000], [0.500, 0.500, 0.000], [0.687, 0.844, 0.316], [0.844, 0.156, 0.684], [0.844, 0.687, 0.684]], "formation_energy_uncorrected_ev_per_atom": -0.427, "m_tot_mub_per_atom": 0.000}


{"formula": "Zn2Cd2SbPd5", "functional": "GGA-PBE", "state": "optimized geometry", "lattice_angstrom": [[9.671, 0.000, 0.000], [0.000, 9.671, 0.000], [0.000, 0.000, 3.697]], "species": ["Zn", "Zn", "Zn", "Zn", "Cd", "Cd", "Cd", "Cd", "Sb", "Sb", "Pd", "Pd", "Pd", "Pd", "Pd", "Pd", "Pd", "Pd", "Pd", "Pd"], "fractional_positions": [[0.127, 0.373, 0.000], [0.373, 0.873, 0.000], [0.627, 0.127, 0.000], [0.873, 0.627, 0.000], [0.169, 0.669, 0.000], [0.331, 0.169, 0.000], [0.669, 0.831, 0.000], [0.831, 0.331, 0.000], [0.000, 0.000, 0.000], [0.500, 0.500, 0.000], [0.000, 0.500, 0.500], [0.088, 0.194, 0.500], [0.194, 0.912, 0.500], [0.306, 0.412, 0.500], [0.412, 0.694, 0.500], [0.500, 0.000, 0.500], [0.588, 0.306, 0.500], [0.694, 0.588, 0.500], [0.806, 0.088, 0.500], [0.912, 0.806, 0.500]], "formation_energy_uncorrected_ev_per_atom": -0.374, "m_tot_mub_per_atom": 0.000}


{"formula": "Sc3Cd2Pd2", "functional": "GGA-PBE", "state": "optimized geometry", "lattice_angstrom": [[1.623, -13.480, 0.000], [1.623, 13.480, 0.000], [0.000, 0.000, 3.267]], "species": ["Sc", "Sc", "Sc", "Cd", "Cd", "Pd", "Pd"], "fractional_positions": [[0.000, 0.000, 0.000], [0.126, 0.874, 0.000], [0.874, 0.126, 0.000], [0.296, 0.704, 0.500], [0.704, 0.296, 0.500], [0.437, 0.563, 0.500], [0.563, 0.437, 0.500]], "ef_ev_per_fu": -3.922, "m_tot_mub_per_atom": 0.000}


{"formula": "ScCdPd2", "functional": "GGA-PBE", "state": "optimized geometry", "lattice_angstrom": [[4.619, 0.000, 0.000], [0.000, 4.619, 0.000], [0.000, 0.000, 3.313]], "species": ["Sc", "Cd", "Pd", "Pd"], "fractional_positions": [[0.000, 0.000, 0.000], [0.500, 0.500, 0.000], [0.000, 0.500, 0.500], [0.500, 0.000, 0.500]], "ef_ev_per_fu": -2.648, "m_tot_mub_per_atom": 0.000}


{"formula": "Sc5CdPd4", "functional": "GGA-PBE", "state": "optimized geometry", "lattice_angstrom": [[3.304, 0.000, 0.000], [0.000, 3.304, 0.000], [0.000, 0.000, 17.358]], "species": ["Sc", "Sc", "Sc", "Sc", "Sc", "Cd", "Pd", "Pd", "Pd", "Pd"], "fractional_positions": [[0.000, 0.000, 0.000], [0.000, 0.000, 0.192], [0.000, 0.000, 0.383], [0.000, 0.000, 0.617], [0.000, 0.000, 0.808], [0.500, 0.500, 0.500], [0.500, 0.500, 0.097], [0.500, 0.500, 0.290], [0.500, 0.500, 0.710], [0.500, 0.500, 0.903]], "ef_ev_per_fu": -7.719, "m_tot_mub_per_atom": 0.000}


{"formula": "Sc5CdPd", "functional": "GGA-PBE", "state": "optimized geometry", "lattice_angstrom": [[3.970, -3.595, 0.000], [3.970, 3.595, 0.000], [-2.625, 0.000, 11.076]], "species": ["Sc", "Sc", "Sc", "Sc", "Sc", "Sc", "Sc", "Sc", "Sc", "Sc", "Cd", "Cd", "Pd", "Pd"], "fractional_positions": [[0.019, 0.981, 0.750], [0.081, 0.434, 0.623], [0.209, 0.508, 0.923], [0.434, 0.081, 0.123], [0.492, 0.791, 0.577], [0.508, 0.209, 0.423], [0.566, 0.919, 0.877], [0.791, 0.492, 0.077], [0.919, 0.566, 0.377], [0.981, 0.019, 0.250], [0.386, 0.614, 0.250], [0.614, 0.386, 0.750], [0.000, 0.000, 0.000], [0.000, 0.000, 0.500]], "ef_ev_per_fu": -1.362, "m_tot_mub_per_atom": 0.000}


{"formula": "Sc5CdPd6", "functional": "GGA-PBE", "state": "optimized geometry", "lattice_angstrom": [[4.059, -6.964, 0.000], [4.059, 6.964, 0.000], [-2.676, 0.000, 3.823]], "species": ["Sc", "Sc", "Sc", "Sc", "Sc", "Cd", "Pd", "Pd", "Pd", "Pd", "Pd", "Pd"], "fractional_positions": [[0.000, 0.000, 0.000], [0.170, 0.830, 0.500], [0.342, 0.658, 0.000], [0.658, 0.342, 0.000], [0.830, 0.170, 0.500], [0.500, 0.500, 0.500], [0.067, 0.413, 0.241], [0.228, 0.228, 0.729], [0.413, 0.067, 0.241], [0.587, 0.933, 0.759], [0.772, 0.772, 0.271], [0.933, 0.587, 0.759]], "ef_ev_per_fu": -10.174, "m_tot_mub_per_atom": 0.000}


{"formula": "Sc6Cd5Pd", "functional": "GGA-PBE", "state": "optimized geometry", "lattice_angstrom": [[4.947, 0.000, 0.000], [0.000, 7.009, 0.000], [-2.414, 0.000, 7.410]], "species": ["Sc", "Sc", "Sc", "Sc", "Sc", "Sc", "Cd", "Cd", "Cd", "Cd", "Cd", "Pd"], "fractional_positions": [[0.000, 0.236, 0.000], [0.000, 0.764, 0.000], [0.341, 0.243, 0.681], [0.341, 0.757, 0.681], [0.659, 0.243, 0.319], [0.659, 0.757, 0.319], [0.169, 0.500, 0.340], [0.173, 0.000, 0.347], [0.500, 0.500, 0.000], [0.827, 0.000, 0.653], [0.831, 0.500, 0.660], [0.500, 0.000, 0.000]], "ef_ev_per_fu": -4.561, "m_tot_mub_per_atom": 0.000}


{"formula": "ScCdPd5", "functional": "GGA-PBE", "state": "optimized geometry", "lattice_angstrom": [[3.983, 0.000, 0.000], [0.000, 3.983, 0.000], [0.000, 0.000, 7.818]], "species": ["Sc", "Cd", "Pd", "Pd", "Pd", "Pd", "Pd"], "fractional_positions": [[0.000, 0.000, 0.000], [0.500, 0.500, 0.500], [0.000, 0.000, 0.500], [0.000, 0.500, 0.234], [0.000, 0.500, 0.766], [0.500, 0.000, 0.234], [0.500, 0.000, 0.766]], "ef_ev_per_fu": -2.644, "m_tot_mub_per_atom": 0.000}


{"formula": "Sc4CdPd2", "functional": "GGA-PBE", "state": "optimized geometry", "lattice_angstrom": [[2.212, 1.277, 9.474], [-2.212, 1.277, 9.474], [0.000, -2.554, 9.474]], "species": ["Sc", "Sc", "Sc", "Sc", "Cd", "Pd", "Pd"], "fractional_positions": [[0.109, 0.109, 0.109], [0.300, 0.300, 0.300], [0.700, 0.700, 0.700], [0.891, 0.891, 0.891], [0.500, 0.500, 0.500], [0.400, 0.400, 0.400], [0.600, 0.600, 0.600]], "ef_ev_per_fu": -2.636, "m_tot_mub_per_atom": 0.000}


| no. | VASP energy (eV per cell) |
| --- | --- |
| 1 | -34.86 |
| 2 | -10.28 |
| 3 | -11.68 |
| 4 | -81.60 |
| 5 | -11.59 |
| 6 | -43.66 |
| 7 | -15.01 |
| 8 | -20.17 |
| 9 | -39.18 |
| 10 | -49.23 |
| 11 | -22.26 |
| 12 | -10.84 |
| 13 | -43.27 |
| 14 | -39.50 |
| 15 | -67.34 |
| 16 | -76.41 |
| 17 | -35.13 |
| 18 | -20.28 |
| 19 | -61.06 |
| 20 | -78.25 |
| 21 | -73.90 |
| 22 | -52.32 |
| 23 | -35.85 |
| 24 | -39.26 |